1.
A geometry-optimized Ca2GaHg4 structure, computed with PBE-GGA.

Values from the calculation:
Total magnetization ... 0.00 μB per formula unit
Total DFT energy (no corrections) ... -1.48 eV/atom
Theoretical density ... 8.41 Mg/m³

a b c (Å): 5.1391 5.1391 8.7431
angles (deg): 72.91 72.91 60.00
Positions (direct):
Ca 0.7439 0.7439 0.7684
Ca 0.2561 0.2561 0.2316
Ga 0.0000 0.0000 0.0000
Hg 0.3831 0.3831 0.8507
Hg 0.8712 0.8712 0.3863
Hg 0.6169 0.6169 0.1493
Hg 0.1288 0.1288 0.6137

2.
A geometry-optimized CaGaHg3 structure, computed with PBE-GGA.

Values from the calculation:
Total magnetization ... 0.00 μB per formula unit
Energy relative to the lowest polymorph listed for this composition ... 0.1657 eV per atom
Total DFT energy (no corrections) ... -1.25 eV/atom
Theoretical density ... 8.26 Mg/m³

a b c (Å): 5.2293 5.2293 5.2293
angles (deg): 90.00 90.00 90.00
Positions (direct):
Hg 0.5000 0.0000 0.0000
Ga 0.0000 0.0000 0.0000
Hg 0.0000 0.0000 0.5000
Hg 0.0000 0.5000 0.0000
Ca 0.5000 0.5000 0.5000

3.
A geometry-optimized Ca2GaHg2 structure, computed with PBE-GGA.

Values from the calculation:
Total magnetization ... 0.00 μB per formula unit
Energy relative to the lowest polymorph listed for this composition ... 0.0798 eV per atom
Total DFT energy (no corrections) ... -1.92 eV/atom
Theoretical density ... 6.80 Mg/m³

a b c (Å): 7.8883 7.8883 4.3237
angles (deg): 90.00 90.00 90.00
Positions (direct):
Hg 0.6342 0.1342 0.0000
Hg 0.1342 0.3658 0.0000
Hg 0.3658 0.8658 0.0000
Hg 0.8658 0.6342 0.0000
Ca 0.1705 0.6705 0.5000
Ca 0.6705 0.8295 0.5000
Ca 0.8295 0.3295 0.5000
Ga 0.5000 0.5000 0.0000
Ca 0.3295 0.1705 0.5000
Ga 0.0000 0.0000 0.0000

4.
A geometry-optimized Ca3Ga3Hg2 structure, computed with PBE-GGA.

Values from the calculation:
Total magnetization ... 0.00 μB per formula unit
Total DFT energy (no corrections) ... -2.43 eV/atom
Theoretical density ... 6.18 Mg/m³

a b c (Å): 4.6145 6.0587 15.1805
angles (deg): 90.00 90.00 112.38
Positions (direct):
Hg 0.2038 0.4075 0.1012
Ga 0.3948 0.7896 0.9634
Ca 0.9108 0.8216 0.3906
Ga 0.6462 0.2924 0.7500
Ca 0.0892 0.1784 0.8906
Hg 0.2038 0.4075 0.3988
Hg 0.7962 0.5925 0.8988
Ga 0.6052 0.2104 0.4634
Ca 0.0892 0.1784 0.6094
Ca 0.6359 0.2718 0.2500
Hg 0.7962 0.5925 0.6012
Ca 0.9108 0.8216 0.1094
Ga 0.3948 0.7896 0.5366
Ga 0.3538 0.7076 0.2500
Ga 0.6052 0.2104 0.0366
Ca 0.3641 0.7282 0.7500

5.
A geometry-optimized Ca2Ga2Hg3 structure, computed with PBE-GGA.

Values from the calculation:
Total magnetization ... 0.00 μB per formula unit
Total DFT energy (no corrections) ... -1.91 eV/atom
Theoretical density ... 7.75 Mg/m³

a b c (Å): 4.3504 7.7610 10.6440
angles (deg): 90.00 101.79 90.00
Positions (direct):
Ga 0.6861 0.9425 0.3721
Ca 0.8382 0.7500 0.6765
Hg 0.5634 0.0645 0.1268
Hg 0.2227 0.7500 0.4454
Ca 0.1618 0.2500 0.3235
Ca 0.0549 0.7500 0.1098
Hg 0.4366 0.9355 0.8732
Ga 0.6861 0.5575 0.3721
Ga 0.3139 0.4425 0.6279
Hg 0.7773 0.2500 0.5546
Hg 0.5634 0.4355 0.1268
Ga 0.3139 0.0575 0.6279
Ca 0.9451 0.2500 0.8902
Hg 0.4366 0.5645 0.8732

6.
A geometry-optimized CaHoGaHg structure, computed with PBE-GGA.

Values from the calculation:
Total magnetization ... 0.00 μB per formula unit
Energy relative to the lowest polymorph listed for this composition ... 0.0113 eV per atom
Total DFT energy (no corrections) ... -2.99 eV/atom
Theoretical density ... 7.92 Mg/m³

a b c (Å): 5.2033 5.2033 5.2033
angles (deg): 60.00 60.00 60.00
Positions (direct):
Ca 0.5000 0.5000 0.5000
Ho 0.0000 0.0000 0.0000
Hg 0.7500 0.7500 0.7500
Ga 0.2500 0.2500 0.2500

7.
A geometry-optimized CaHoGaHg structure, computed with PBE-GGA.

Values from the calculation:
Total magnetization ... 0.00 μB per formula unit
Energy relative to the lowest polymorph listed for this composition ... 0.0000 eV per atom
Total DFT energy (no corrections) ... -3.00 eV/atom
Theoretical density ... 7.94 Mg/m³

a b c (Å): 3.6043 3.6043 7.6478
angles (deg): 90.00 90.00 90.00
Positions (direct):
Ca 0.0000 0.0000 0.3663
Hg 0.5000 0.5000 0.0989
Ho 0.0000 0.0000 0.8447
Ga 0.5000 0.5000 0.6180

8.
A geometry-optimized CaGa2HgI8 structure, computed with PBE-GGA.

Values from the calculation:
Uncorrected formation energy ... -0.69 eV/atom
Total magnetization ... 0.00 μB per formula unit
Total DFT energy (no corrections) ... -2.42 eV/atom
Theoretical density ... 3.79 Mg/m³

a b c (Å): 7.4797 7.4797 13.3287
angles (deg): 73.70 73.70 60.00
Positions (direct):
I 0.9472 0.6087 0.1489
I 0.0528 0.3913 0.8511
I 0.2952 0.9472 0.1489
I 0.6087 0.2952 0.1489
Ca 0.0000 0.0000 0.0000
I 0.7048 0.0528 0.8511
Ga 0.7400 0.7400 0.7801
I 0.1937 0.1937 0.4189
I 0.8063 0.8063 0.5811
Ga 0.2600 0.2600 0.2199
I 0.3913 0.7048 0.8511
Hg 0.5000 0.5000 0.5000

9.
A geometry-optimized Ca2GaHgI structure, computed with PBE-GGA.

Values from the calculation:
Uncorrected formation energy ... -0.38 eV/atom
Total magnetization ... 0.00 μB per formula unit
Total DFT energy (no corrections) ... -2.16 eV/atom
Theoretical density ... 4.42 Mg/m³

a b c (Å): 6.0245 4.9375 6.0245
angles (deg): 90.00 90.00 90.00
Positions (direct):
Ca 0.0000 0.0000 0.5000
Ga 0.0000 0.5000 0.0000
I 0.5000 0.5000 0.5000
Ca 0.5000 0.0000 0.0000
Hg 0.0000 0.0000 0.0000

10.
A geometry-optimized CaLuGaHg structure, computed with PBE-GGA.

Values from the calculation:
Total magnetization ... 0.00 μB per formula unit
Total DFT energy (no corrections) ... -2.95 eV/atom
Theoretical density ... 8.29 Mg/m³

a b c (Å): 5.1618 5.1618 5.1618
angles (deg): 60.00 60.00 60.00
Positions (direct):
Lu 0.0000 0.0000 0.0000
Ga 0.2500 0.2500 0.2500
Hg 0.7500 0.7500 0.7500
Ca 0.5000 0.5000 0.5000

11.
A geometry-optimized CaMg2Ga2Hg2 structure, computed with PBE-GGA.

Values from the calculation:
Total magnetization ... 0.00 μB per formula unit
Total DFT energy (no corrections) ... -1.96 eV/atom
Theoretical density ... 6.50 Mg/m³

a b c (Å): 4.6579 4.6579 8.9686
angles (deg): 74.95 74.95 60.00
Positions (direct):
Ga 0.2472 0.2472 0.2583
Hg 0.5949 0.5949 0.2154
Mg 0.8648 0.8648 0.4056
Mg 0.1352 0.1352 0.5944
Ca 0.0000 0.0000 0.0000
Hg 0.4051 0.4051 0.7846
Ga 0.7528 0.7528 0.7417

12.
A geometry-optimized NaCaGa2Hg structure, computed with PBE-GGA.

Values from the calculation:
Total magnetization ... 0.00 μB per formula unit
Total DFT energy (no corrections) ... -1.49 eV/atom
Theoretical density ... 4.36 Mg/m³

a b c (Å): 5.1615 5.7619 5.1615
angles (deg): 90.00 90.00 90.00
Positions (direct):
Ga 0.0000 0.0000 0.5000
Na 0.0000 0.0000 0.0000
Ca 0.0000 0.5000 0.0000
Hg 0.5000 0.5000 0.5000
Ga 0.5000 0.0000 0.0000